The following is a DFT calculation (GGA-PBE) of a geometry-optimized TaTlCd2 structure.

As for the symmetry: I4/mmm, No. 139. The calculated total energy comes out at -3.519 eV per atom. The formation energy comes out at 48 kJ per mole of atoms. Its size of the total moment is 0.000 μB/f.u.

a b c (Å): 5.808 5.808 5.808
angles (deg): 138.32 138.32 60.41
Sites, in units of the cell vectors:
Tl 0.750 0.250 0.500
Cd 0.000 0.000 0.000
Cd 0.500 0.500 0.000
Ta 0.250 0.750 0.500

***

The following is a DFT calculation (GGA-PBE) of a geometry-optimized TaTlCd2 structure.

As for the symmetry: Immm, No. 71. The calculated total energy comes out at -3.622 eV per atom. The formation energy comes out at 38 kJ per mole of atoms. Its size of the total moment is 0.000 μB/f.u.

a b c (Å): 6.365 6.365 6.365
angles (deg): 151.95 132.67 55.92
Sites, in units of the cell vectors:
Tl 0.250 0.750 0.500
Cd 0.975 0.975 0.000
Cd 0.525 0.525 0.000
Ta 0.750 0.250 0.500

***

The following is a DFT calculation (GGA-PBE) of a geometry-optimized TaTlCd2 structure.

As for the symmetry: Cmm2, No. 35. The calculated total energy comes out at -3.639 eV per atom. The formation energy comes out at 36 kJ per mole of atoms. Its size of the total moment is 0.000 μB/f.u.

a b c (Å): 3.142 3.142 10.363
angles (deg): 90.00 90.00 120.54
Sites, in units of the cell vectors:
Tl 0.500 0.500 0.742
Cd 0.000 0.000 0.007
Cd 0.500 0.500 0.256
Ta 0.000 0.000 0.495

***

The following is a DFT calculation (GGA-PBE) of a geometry-optimized TaTlCd2 structure.

As for the symmetry: C2/m, No. 12. The calculated total energy comes out at -3.657 eV per atom. The formation energy comes out at 34 kJ per mole of atoms. Its size of the total moment is 0.000 μB/f.u.

a b c (Å): 6.509 5.596 3.045
angles (deg): 88.19 65.57 117.97
Sites, in units of the cell vectors:
Tl 0.500 0.500 0.000
Cd 0.000 0.000 0.000
Cd 0.500 0.000 0.500
Ta 0.000 0.500 0.500

***

The following is a DFT calculation (GGA-PBE) of a geometry-optimized Ta4TlCd structure.

As for the symmetry: F-43m, No. 216. The calculated total energy comes out at -7.885 eV per atom. The formation energy comes out at 54 kJ per mole of atoms. Its size of the total moment is 0.000 μB/f.u.

a b c (Å): 5.591 5.591 5.591
angles (deg): 60.00 60.00 60.00
Sites, in units of the cell vectors:
Ta 0.877 0.374 0.374
Ta 0.374 0.374 0.877
Ta 0.374 0.877 0.374
Ta 0.374 0.374 0.374
Tl 0.750 0.750 0.750
Cd 0.000 0.000 0.000

***

The following is a DFT calculation (GGA-PBE) of a geometry-optimized TaTlVCd2 structure.

As for the symmetry: P4/mmm, No. 123. The calculated total energy comes out at -3.412 eV per atom. The formation energy comes out at 156 kJ per mole of atoms. Its size of the total moment is 0.001 μB/f.u.

a b c (Å): 4.982 4.982 5.006
angles (deg): 90.00 90.00 90.00
Sites, in units of the cell vectors:
Tl 0.000 0.000 0.500
Cd 0.000 0.500 0.000
Cd 0.500 0.000 0.000
V 0.000 0.000 0.000
Ta 0.500 0.500 0.500

***

The following is a DFT calculation (GGA-PBE) of a geometry-optimized Tm2TaCd structure.

As for the symmetry: R-3m, No. 166. The calculated total energy comes out at -4.927 eV per atom. The formation energy comes out at 48 kJ per mole of atoms. Its size of the total moment is 0.002 μB/f.u.

a b c (Å): 3.136 3.136 11.649
angles (deg): 82.26 82.26 60.00
Sites, in units of the cell vectors:
Cd 0.500 0.500 0.500
Tm 0.086 0.086 0.742
Tm 0.914 0.914 0.258
Ta 0.000 0.000 0.000

***

The following is a DFT calculation (GGA-PBE) of a geometry-optimized Tm2TaCd structure.

As for the symmetry: P4/mmm, No. 123. The calculated total energy comes out at -5.396 eV per atom. The formation energy comes out at 3 kJ per mole of atoms. Its size of the total moment is 0.000 μB/f.u.

a b c (Å): 3.269 3.269 8.928
angles (deg): 90.00 90.00 90.00
Sites, in units of the cell vectors:
Cd 0.500 0.500 0.000
Tm 0.000 0.000 0.740
Tm 0.000 0.000 0.260
Ta 0.500 0.500 0.500